# VPS4

A geometry-optimized VPS4 structure (GGA-PBE, Alexandria).

Output
Space group: C2/c (15)
Calculated volume in Å³/atom: 18.4
E in eV per atom: -5.53

Geometry as POSCAR:
```
VPS4
1.0
5.0114 -3.3466 0.0000
5.0114 3.3466 0.0000
-0.0061 0.0000 6.5899
V P S
2 2 8
Direct
0.0000 0.5000 0.0000
0.5000 0.0000 0.5000
0.9997 0.0003 0.2500
0.0003 0.9997 0.7500
0.2235 0.2250 0.2508
0.2250 0.2235 0.7508
0.2308 0.7378 0.0002
0.2622 0.7692 0.4998
0.7378 0.2308 0.5002
0.7692 0.2622 0.9998
0.7750 0.7765 0.2492
0.7765 0.7750 0.7492
```